Material: Cs3ThPb2O6
Method: DFT, PBE
State: optimized geometry

Lattice parameters (Å, degrees): 6.585 6.585 7.994 90.00 90.00 120.00
Positions (direct):
Cs1 0.333 0.667 0.663
Cs2 0.667 0.333 0.337
Cs3 0.000 0.000 0.000
Th1 0.000 0.000 0.500
Pb1 0.667 0.333 0.794
Pb2 0.333 0.667 0.206
O1 0.671 0.836 0.331
O2 0.164 0.329 0.331
O3 0.164 0.836 0.331
O4 0.836 0.671 0.669
O5 0.329 0.164 0.669
O6 0.836 0.164 0.669

Properties
total DFT energy (no corrections)	-5.76	eV/atom
space-group type	P-3m1 (164)